Entry from Alexandria: CrC3N after structural relaxation (PBE).

Energy relative to the lowest polymorph listed for this composition: 0.000 eV/atom
Final energy: -6.3174 eV/atom
ΔE_f (raw): 2.807 eV/atom
DOS at the Fermi energy: 1.41 states/eV per cell
V: 56 Å³/cell

Unit cell a=3.816 b=3.816 c=3.816 alpha=90.00 beta=90.00 gamma=90.00
Space group Pm-3m (No. 221)
Unique sites:
Cr 0.000 0.000 0.000
C 0.000 0.000 0.500
N 0.500 0.500 0.500